Density functional theory data (PBE) for a relaxed structure of Na3Pa2CuTe6.

Lattice parameters (Å, degrees): 7.5115 7.5115 7.9933 99.04 99.04 120.05
With the nearest neighbours (Å) after each atom.
Positions (direct):
Pa (0.3341, 0.6659, 0.0000)  6 Te 3.07-3.08
Pa (0.6659, 0.3341, 0.0000)  6 Te 3.07-3.08
Na (0.8288, 0.1712, 0.5000)  6 Te 3.22-3.28
Na (0.1712, 0.8288, 0.5000)  6 Te 3.22-3.28
Na (0.5000, 0.5000, 0.5000)  6 Te 3.22-3.31
Te (0.9246, 0.6027, 0.7731)  1 Cu 2.97, 2 Pa 3.08, 3 Na 3.22-3.28
Te (0.2455, 0.2455, 0.7714)  1 Cu 2.98, 2 Pa 3.07, 3 Na 3.25-3.31
Te (0.3973, 0.0754, 0.2269)  1 Cu 2.97, 2 Pa 3.08, 3 Na 3.22-3.28
Te (0.6027, 0.9246, 0.7731)  1 Cu 2.97, 2 Pa 3.08, 3 Na 3.22-3.28
Te (0.7545, 0.7545, 0.2286)  1 Cu 2.98, 2 Pa 3.07, 3 Na 3.25-3.31
Te (0.0754, 0.3973, 0.2269)  1 Cu 2.97, 2 Pa 3.08, 3 Na 3.22-3.28
Cu (0.0000, 0.0000, 0.0000)  6 Te 2.97-2.98

Values from the calculation:
- DFT total energy: -4.559 eV/atom
- Raw formation energy: -0.735 eV/atom